# Tb5PmPr4

Tb5PmPr4 after structural relaxation (PBE, Alexandria via LeMat-Bulk).

Unit cell a=5.8499 b=10.7874 c=10.7796 alpha=90.00 beta=90.00 gamma=90.00
Last column: nearest neighbours and their distance in Å.
Fractional positions:
Tb1 0.1639 0.8377 0.8375  3 Tb 3.29-3.50, 2 Pr 3.54, 1 Pm 3.63
Tb2 0.1639 0.1623 0.8375  3 Tb 3.29-3.50, 2 Pr 3.54, 1 Pm 3.63
Tb3 0.9995 0.5000 0.0000  4 Pr 3.10
Tb4 0.1639 0.8377 0.1625  3 Tb 3.29-3.50, 2 Pr 3.54, 1 Pm 3.63
Tb5 0.1639 0.1623 0.1625  3 Tb 3.29-3.50, 2 Pr 3.54, 1 Pm 3.63
Tb6 0.8361 0.6623 0.3375  3 Tb 3.29-3.50, 2 Pr 3.54, 1 Pm 3.63
Tb7 0.8361 0.3377 0.3375  3 Tb 3.29-3.50, 2 Pr 3.54, 1 Pm 3.63
Tb8 0.0005 0.0000 0.5000  4 Pr 3.10
Tb9 0.8361 0.3377 0.6625  3 Tb 3.29-3.50, 2 Pr 3.54, 1 Pm 3.63
Tb10 0.8361 0.6623 0.6625  3 Tb 3.29-3.50, 2 Pr 3.54, 1 Pm 3.63
Pm1 0.6170 0.0000 0.0000  4 Pr 3.16
Pm2 0.3830 0.5000 0.5000  4 Pr 3.16
Pr1 0.6325 0.0000 0.7069  1 Tb 3.10, 1 Pm 3.16
Pr2 0.6323 0.7072 0.0000  1 Tb 3.10, 1 Pm 3.16
Pr3 0.6323 0.2928 0.0000  1 Tb 3.10, 1 Pm 3.16
Pr4 0.6325 0.0000 0.2931  1 Tb 3.10, 1 Pm 3.16
Pr5 0.3675 0.5000 0.2069  1 Tb 3.10, 1 Pm 3.16
Pr6 0.3677 0.7928 0.5000  1 Tb 3.10, 1 Pm 3.16
Pr7 0.3677 0.2072 0.5000  1 Tb 3.10, 1 Pm 3.16
Pr8 0.3675 0.5000 0.7931  1 Tb 3.10, 1 Pm 3.16

## Properties
As for the energy of formation from the pure elements: 0.19 eV/atom. The calculation puts the magnetization at 0.0 μB per formula unit. For the polymorph energy (0 for the lowest one), the calculation gives 0.033 eV/atom.


# CrHg3

CrHg3 after structural relaxation (PBE, Alexandria via LeMat-Bulk).

Unit cell a=3.3451 b=3.3451 c=9.3424 alpha=90.00 beta=90.00 gamma=120.00
Last column: nearest neighbours and their distance in Å.
Fractional positions:
Cr1 0.0000 0.0000 0.0000  6 Hg 2.88
Hg1 0.0000 0.0000 0.5000  12 Hg 3.19-3.35
Hg2 0.3333 0.6667 0.2285  3 Cr 2.88, 3 Hg 3.19
Hg3 0.3333 0.6667 0.7715  3 Cr 2.88, 3 Hg 3.19

## Properties
As for the energy of formation from the pure elements: 0.34 eV/atom. The calculation puts the magnetization at 4.4 μB per formula unit.


# GaFe2P

GaFe2P after structural relaxation (PBE, Alexandria via LeMat-Bulk).

Unit cell a=6.4769 b=6.4769 c=5.2387 alpha=51.82 beta=51.82 gamma=90.00
Last column: nearest neighbours and their distance in Å.
Fractional positions:
P1 0.5000 0.5000 0.0000  4 Fe 2.11
P2 0.2500 0.7500 0.5000  4 Fe 2.11
Fe1 0.5597 0.1250 0.2500  2 P 2.11
Fe2 0.1903 0.6250 0.2500  2 P 2.11
Fe3 0.3750 0.4403 0.7500  2 P 2.11
Fe4 0.8750 0.8097 0.7500  2 P 2.11
Ga1 0.0000 0.0000 0.0000  2 P 2.54, 8 Fe 2.68-2.77
Ga2 0.7500 0.2500 0.5000  2 P 2.54, 8 Fe 2.68-2.77

## Properties
As for the energy of formation from the pure elements: 0.13 eV/atom. The calculation puts the magnetization at 2.1 μB per formula unit. For the polymorph energy (0 for the lowest one), the calculation gives 0.365 eV/atom.


# VRh3

VRh3 after structural relaxation (PBE, Alexandria via LeMat-Bulk).

Unit cell a=2.7353 b=4.7078 c=5.1062 alpha=117.45 beta=105.54 gamma=90.00
Last column: nearest neighbours and their distance in Å.
Fractional positions:
Rh1 0.2566 0.5939 0.5132  3 V 2.63-2.71, 9 Rh 2.67-2.74
Rh2 0.5000 0.4861 0.0000  4 V 2.64-2.80, 8 Rh 2.67-2.74
Rh3 0.7434 0.0807 0.4868  3 V 2.63-2.71, 9 Rh 2.67-2.74
V1 0.0000 0.0060 0.0000  10 Rh 2.63-2.80, 2 V 2.74

## Properties
As for the energy of formation from the pure elements: -0.27 eV/atom. The calculation puts the magnetization at 0.0 μB per formula unit.


# RbTeOs3

RbTeOs3 after structural relaxation (PBE, Alexandria via LeMat-Bulk).

Unit cell a=4.9845 b=4.9845 c=4.9845 alpha=90.00 beta=90.00 gamma=90.00
Last column: nearest neighbours and their distance in Å.
Fractional positions:
Te1 0.0000 0.0000 0.0000  6 Os 2.49
Os1 0.0000 0.5000 0.0000  2 Te 2.49
Os2 0.0000 0.0000 0.5000  2 Te 2.49
Os3 0.5000 0.0000 0.0000  2 Te 2.49
Rb1 0.5000 0.5000 0.5000  12 Os 3.52

## Properties
For the uncorrected formation energy, the calculation gives 2.288 eV per atom. The calculation puts the magnetization at 2.9 μB per formula unit. For the polymorph energy (0 for the lowest one), the calculation gives 0.000 eV/atom.